## TbV2GaO8 (PBE with a Hubbard U)

Data for a relaxed structure of TbV2GaO8.

Geometry as POSCAR:
```
TbV2GaO8
1.0
5.8234 0.1150 0.0000
-2.4798 5.2703 0.0000
-1.6718 -2.6926 4.8867
Tb V Ga O
1 2 1 8
Direct
0.2500 0.7500 0.5000 Tb
0.7500 0.2500 0.5000 V
0.5000 0.5000 0.0000 V
0.0000 0.0000 0.0000 Ga
0.3782 0.0787 0.2995 O
0.3196 0.5063 0.1867 O
0.3196 0.1328 0.8133 O
0.7792 0.0787 0.7005 O
0.8672 0.6804 0.1867 O
0.9213 0.2208 0.2995 O
0.9213 0.6218 0.7005 O
0.4937 0.6804 0.8133 O
```

- raw total energy (eV per cell) = -87.54
- magnetic moment (μB/atom) = 0.00
- space group = I-4m2 (119)
- theoretical density (g/cm3) = 5.0